Ba2Al2I | PBE | optimized geometry

```
Ba2Al2I
1.0
9.784 0.000 0.000
0.000 9.784 0.000
0.000 0.000 4.408
Ba Al I
4 4 2
Direct
0.196 0.304 0.000
0.304 0.804 0.000
0.696 0.196 0.000
0.804 0.696 0.000
0.090 0.590 0.500
0.410 0.090 0.500
0.590 0.910 0.500
0.910 0.410 0.500
0.000 0.000 0.000
0.500 0.500 0.000
```

SG   P4/mbm
Formation energy from raw total energies   -0.350 eV per atom
Volume   210.96 Å³/f.u.

=====

Ba3AlI | PBE | optimized geometry

```
Ba3AlI
1.0
6.618 0.000 0.000
0.000 6.618 0.000
0.000 0.000 6.618
Ba Al I
3 1 1
Direct
0.000 0.000 0.500
0.000 0.500 0.000
0.500 0.000 0.000
0.000 0.000 0.000
0.500 0.500 0.500
```

SG   Pm-3m
Formation energy from raw total energies   -0.279 eV per atom
Volume   289.89 Å³/f.u.

=====

BaAlI5 | PBE | optimized geometry

```
BaAlI5
1.0
8.592 0.000 0.000
-0.836 8.583 0.000
-3.695 -4.072 10.511
Ba Al I
2 2 10
Direct
0.000 0.000 0.000
0.500 0.500 0.500
0.096 0.403 0.750
0.904 0.597 0.250
0.186 0.265 0.561
0.195 0.721 0.824
0.224 0.692 0.319
0.238 0.307 0.935
0.366 0.135 0.251
0.634 0.865 0.749
0.762 0.693 0.065
0.776 0.308 0.681
0.805 0.279 0.176
0.814 0.735 0.439
```

SG   P-1
Formation energy from raw total energies   -1.114 eV per atom
Volume   387.57 Å³/f.u.

=====

Ba3Al5I12 | PBE | optimized geometry

```
Ba3Al5I12
1.0
-9.759 9.759 9.759
9.759 -9.759 9.759
9.759 9.759 -9.759
Ba Al I
12 20 48
Direct
0.125 0.250 0.375
0.125 0.375 0.750
0.250 0.375 0.125
0.250 0.875 0.625
0.375 0.125 0.250
0.375 0.750 0.125
0.625 0.250 0.875
0.625 0.875 0.750
0.750 0.125 0.375
0.750 0.625 0.875
0.875 0.625 0.250
0.875 0.750 0.625
0.000 0.000 0.000
0.000 0.000 0.500
0.000 0.500 0.000
0.000 0.500 0.500
0.125 0.750 0.875
0.125 0.875 0.250
0.250 0.125 0.875
0.250 0.625 0.375
0.375 0.250 0.625
0.375 0.625 0.750
0.500 0.000 0.000
0.500 0.000 0.500
0.500 0.500 0.000
0.500 0.500 0.500
0.625 0.375 0.250
0.625 0.750 0.375
0.750 0.375 0.625
0.750 0.875 0.125
0.875 0.125 0.750
0.875 0.250 0.125
0.041 0.217 0.131
0.041 0.324 0.910
0.086 0.717 0.676
0.086 0.869 0.410
0.090 0.631 0.414
0.090 0.959 0.676
0.131 0.041 0.217
0.131 0.590 0.914
0.176 0.217 0.586
0.176 0.459 0.590
0.217 0.131 0.041
0.217 0.586 0.176
0.283 0.324 0.914
0.283 0.459 0.369
0.324 0.910 0.041
0.324 0.914 0.283
0.369 0.283 0.459
0.369 0.586 0.910
0.410 0.086 0.869
0.410 0.824 0.541
0.414 0.090 0.631
0.414 0.824 0.783
0.459 0.369 0.283
0.459 0.590 0.176
0.541 0.410 0.824
0.541 0.631 0.717
0.586 0.176 0.217
0.586 0.910 0.369
0.590 0.176 0.459
0.590 0.914 0.131
0.631 0.414 0.090
0.631 0.717 0.541
0.676 0.086 0.717
0.676 0.090 0.959
0.717 0.541 0.631
0.717 0.676 0.086
0.783 0.414 0.824
0.783 0.869 0.959
0.824 0.541 0.410
0.824 0.783 0.414
0.869 0.410 0.086
0.869 0.959 0.783
0.910 0.041 0.324
0.910 0.369 0.586
0.914 0.131 0.590
0.914 0.283 0.324
0.959 0.676 0.090
0.959 0.783 0.869
```

SG   Ia-3d
Formation energy from raw total energies   -0.746 eV per atom
Volume   929.32 Å³/f.u.

=====

KBaAl2I | PBE | optimized geometry

```
KBaAl2I
1.0
6.434 0.000 0.000
0.000 6.434 0.000
0.000 0.000 6.728
K Ba Al I
1 1 2 1
Direct
0.000 0.000 0.000
0.500 0.500 0.500
0.000 0.500 0.500
0.500 0.000 0.500
0.500 0.500 0.000
```

SG   P4/mmm
Formation energy from raw total energies   0.317 eV per atom
Volume   278.47 Å³/f.u.

=====

Ba2AlNiI | PBE | optimized geometry

```
Ba2AlNiI
1.0
6.187 0.000 0.000
0.000 6.187 0.000
0.000 0.000 4.595
Ba Al Ni I
2 1 1 1
Direct
0.000 0.500 0.000
0.500 0.000 0.000
0.000 0.000 0.500
0.000 0.000 0.000
0.500 0.500 0.500
```

SG   P4/mmm
Formation energy from raw total energies   -0.562 eV per atom
Volume   175.88 Å³/f.u.

=====

BaAl2OsI | PBE | optimized geometry

```
BaAl2OsI
1.0
5.479 0.000 0.000
0.000 5.479 0.000
0.000 0.000 6.328
Ba Al Os I
1 2 1 1
Direct
0.000 0.000 0.000
0.000 0.500 0.500
0.500 0.000 0.500
0.500 0.500 0.000
0.000 0.000 0.500
```

SG   P4/mmm
Formation energy from raw total energies   1.600 eV per atom
Volume   189.98 Å³/f.u.

=====

BaAlOs2I | PBE | optimized geometry

```
BaAlOs2I
1.0
4.708 0.000 0.000
0.000 4.708 0.000
0.000 0.000 6.443
Ba Al Os I
1 1 2 1
Direct
0.000 0.000 0.000
0.000 0.000 0.500
0.000 0.500 0.500
0.500 0.000 0.500
0.500 0.500 0.000
```

SG   P4/mmm
Formation energy from raw total energies   1.062 eV per atom
Volume   142.79 Å³/f.u.

=====

Question: What is the formula in the third record?
Answer: BaAlI5

=====

Question: The lowest formation energy from raw total energies belongs to which entry?
Answer: BaAlI5

=====

Question: The lowest volume belongs to which entry?
Answer: BaAlOs2I